An optimized crystal structure of Ac2AlCdAg6, computed with PBE-GGA.

Summary:
total energy = -31.510 eV/cell
mass density = 8.2 g/cm³

```
Ac2AlCdAg6
1.0
-6.031 -3.484 1.415
0.875 -2.179 -6.950
1.499 -6.445 -3.160
Ac Ag Cd Al
2 6 1 1
Cartesian
0.150 -5.831 -6.595
-3.807 -6.277 -2.100
-3.197 -7.423 -5.681
-2.883 -9.571 -3.772
-0.775 -2.537 -4.924
-1.009 -7.383 -3.800
-2.649 -4.725 -4.895
-0.461 -4.685 -3.014
-2.578 -2.831 -2.768
0.000 0.000 0.000
```